(1)
Computed, not measured: crystalline Li3Hf2NiS6 at its relaxed geometry at the PBE-GGA level of DFT.

Values from the calculation:
DOS at the Fermi energy, states/eV per cell: 6.05
V, Å³ per atom: 17.23
Final energy, eV per atom: -5.959
Raw formation energy, eV per atom: -1.2758
Density, g/cm3: 5.051

```
Li3Hf2NiS6
1.0
-6.105 -1.338 0.340
3.522 -0.105 5.174
-0.373 6.372 -0.883
Li Hf Ni S
3 2 1 6
direct
0.168 0.832 0.500
0.832 0.168 0.500
0.500 0.500 0.500
0.333 0.667 0.000
0.667 0.333 0.000
0.000 0.000 0.000
0.920 0.588 0.761
0.747 0.747 0.240
0.080 0.412 0.239
0.588 0.920 0.761
0.253 0.253 0.760
0.412 0.080 0.239
```



(2)
Computed, not measured: crystalline Li3Hf3NiSe8 at its relaxed geometry at the PBE-GGA level of DFT.

Values from the calculation:
DOS at the Fermi energy, states/eV per cell: 5.21
V, Å³ per atom: 21.26
Final energy, eV per atom: -5.732
Raw formation energy, eV per atom: -1.1144
Density, g/cm3: 6.492

```
Li3Hf3NiSe8
1.0
-0.539 -7.392 1.224
6.757 3.188 -0.821
-4.037 1.381 6.569
Li Hf Ni Se
3 3 1 8
direct
0.000 0.000 0.000
0.000 0.500 0.000
0.500 0.500 0.000
0.500 0.000 0.500
0.500 0.500 0.500
0.000 0.500 0.500
0.000 0.000 0.500
0.251 0.502 0.252
0.749 0.498 0.748
0.760 0.519 0.266
0.240 0.481 0.734
0.760 0.006 0.266
0.240 0.994 0.734
0.247 0.007 0.266
0.753 0.993 0.734
```